TmGePt (GGA-PBE, relaxed); DFT total energy = -74.2 eV/cell
1.0
6.937 0.000 0.000
0.000 4.349 0.000
0.000 0.000 7.597
Pt Tm Ge
4 4 4
direct
0.294 0.250 0.084
0.794 0.250 0.416
0.706 0.750 0.916
0.206 0.750 0.584
0.997 0.750 0.204
0.003 0.250 0.796
0.503 0.250 0.704
0.497 0.750 0.296
0.809 0.750 0.589
0.191 0.250 0.411
0.309 0.750 0.911
0.691 0.250 0.089